LiCe2PuS5: optimized geometry, PBE-GGA.

Its energy relative to the elements, uncorrected is -1772.3 meV per atom.

It has space group Cmc2_1 (No. 36), with a = 3.9953 Å, b = 16.3845 Å, c = 11.8033 Å, α = 90.00°, β = 90.00° and γ = 90.00°. The asymmetric unit holds Li at (0.0000, 0.0165, 0.0000), Ce at (0.0000, 0.3745, 0.8213), Ce at (0.0000, 0.3899, 0.2053), Pu at (0.0000, 0.3016, 0.5241), S at (0.0000, 0.0010, 0.3014), S at (0.0000, 0.1357, 0.5204), S at (0.0000, 0.1902, 0.8655), S at (0.0000, 0.2096, 0.1831) and S at (0.0000, 0.4554, 0.5927).